SmTmPt after structural relaxation. Source: the Alexandria database, functional PBE.

Cell lengths 7.188, 4.779, 8.815 Å; angles 90.00, 90.00, 90.00 degrees
Element x y z (fractional)
Sm 0.010 0.250 0.172
Sm 0.490 0.750 0.672
Sm 0.510 0.250 0.328
Sm 0.990 0.750 0.828
Tm 0.143 0.250 0.579
Tm 0.357 0.750 0.079
Tm 0.643 0.250 0.921
Tm 0.857 0.750 0.421
Pt 0.250 0.250 0.908
Pt 0.250 0.750 0.408
Pt 0.750 0.250 0.592
Pt 0.750 0.750 0.092

Results
total energy	-6.025	eV per atom
crystal system	orthorhombic
calculated formation energy	-0.948	eV per atom
energy above the most stable polymorph in this dataset	0	meV per atom
SG	Pnma (62)

***

Be2Zn2SiNi5 after structural relaxation. Source: the Alexandria database, functional PBE.

Cell lengths 8.443, 8.443, 3.076 Å; angles 90.00, 90.00, 90.00 degrees
Element x y z (fractional)
Be 0.124 0.376 0.000
Be 0.376 0.876 0.000
Be 0.624 0.124 0.000
Be 0.876 0.624 0.000
Zn 0.172 0.672 0.000
Zn 0.328 0.172 0.000
Zn 0.672 0.828 0.000
Zn 0.828 0.328 0.000
Si 0.000 0.000 0.000
Si 0.500 0.500 0.000
Ni 0.000 0.500 0.500
Ni 0.076 0.200 0.500
Ni 0.200 0.924 0.500
Ni 0.300 0.424 0.500
Ni 0.424 0.700 0.500
Ni 0.500 0.000 0.500
Ni 0.576 0.300 0.500
Ni 0.700 0.576 0.500
Ni 0.800 0.076 0.500
Ni 0.924 0.800 0.500

Results
total energy	-4.733	eV per atom
ΔE_f (raw)	-0.300	eV per atom
crystal system	tetragonal
SG	P4/mbm (127)

***

NdHoW after structural relaxation. Source: the Alexandria database, functional PBE.

Cell lengths 3.348, 3.348, 14.070 Å; angles 90.00, 90.00, 90.00 degrees
Element x y z (fractional)
Nd 0.250 0.250 0.101
Nd 0.750 0.750 0.899
Ho 0.250 0.250 0.688
Ho 0.750 0.750 0.312
W 0.250 0.250 0.453
W 0.750 0.750 0.547

Results
total energy	-7.237	eV per atom
crystal system	tetragonal
calculated formation energy	0.196	eV per atom
SG	P4/nmm (129)

***

TlN2O2 after structural relaxation. Source: the Alexandria database, functional PBE.

Cell lengths 4.595, 4.595, 4.342 Å; angles 90.00, 90.00, 90.00 degrees
Element x y z (fractional)
Tl 0.000 0.000 0.000
N 0.000 0.500 0.000
N 0.500 0.000 0.000
O 0.000 0.000 0.500
O 0.500 0.500 0.500

Results
total energy	-3.445	eV per atom
ΔE_f (raw)	2.342	eV per atom
crystal system	tetragonal
energy above the most stable polymorph in this dataset	2370	meV per atom
SG	P4/mmm (123)

***

Na2SiHgTe4 after structural relaxation. Source: the Alexandria database, functional PBE.

Cell lengths 8.665, 8.665, 8.056 Å; angles 115.83, 115.83, 93.34 degrees
Element x y z (fractional)
Na 0.000 0.000 0.000
Na 0.000 0.000 0.500
Na 0.000 0.500 0.000
Na 0.500 0.000 0.500
Si 0.500 0.500 0.000
Si 0.500 0.500 0.500
Hg 0.000 0.500 0.500
Hg 0.500 0.000 0.000
Te 0.257 0.707 0.489
Te 0.282 0.296 0.049
Te 0.293 0.743 0.011
Te 0.296 0.282 0.549
Te 0.704 0.718 0.451
Te 0.707 0.257 0.989
Te 0.718 0.704 0.951
Te 0.743 0.293 0.511

Results
total energy	-2.862	eV per atom
ΔE_f (raw)	-0.246	eV per atom
crystal system	monoclinic
SG	C2/c (15)

***

La2ZrGeN5 after structural relaxation. Source: the Alexandria database, functional PBE.

Cell lengths 7.607, 7.607, 10.374 Å; angles 90.00, 90.00, 154.31 degrees
Element x y z (fractional)
La 0.113 0.887 0.500
La 0.126 0.874 0.128
La 0.874 0.126 0.628
La 0.887 0.113 0.000
Zr 0.213 0.787 0.833
Zr 0.787 0.213 0.333
Ge 0.450 0.550 0.266
Ge 0.550 0.450 0.766
N 0.044 0.956 0.860
N 0.291 0.709 0.474
N 0.325 0.675 0.199
N 0.351 0.649 0.822
N 0.498 0.502 0.605
N 0.502 0.498 0.105
N 0.649 0.351 0.322
N 0.675 0.325 0.699
N 0.709 0.291 0.974
N 0.956 0.044 0.360

Results
total energy	-8.085	eV per atom
ΔE_f (raw)	-0.902	eV per atom
crystal system	orthorhombic
SG	Cmc2_1 (36)

***

NbNiSn3 after structural relaxation. Source: the Alexandria database, functional PBE.

Cell lengths 5.340, 5.340, 5.340 Å; angles 90.00, 90.00, 90.00 degrees
Element x y z (fractional)
Nb 0.000 0.000 0.000
Ni 0.500 0.500 0.500
Sn 0.000 0.000 0.500
Sn 0.000 0.500 0.000
Sn 0.500 0.000 0.000

Results
total energy	-4.646	eV per atom
crystal system	cubic
calculated formation energy	0.926	eV per atom
SG	Pm-3m (221)

***

LaCd3Ga2 after structural relaxation. Source: the Alexandria database, functional PBE.

Cell lengths 8.716, 8.716, 8.408 Å; angles 118.80, 118.80, 30.70 degrees
Element x y z (fractional)
La 0.136 0.136 0.135
La 0.864 0.864 0.865
Cd 0.000 0.000 0.335
Cd 0.000 0.000 0.665
Cd 0.335 0.335 0.140
Cd 0.335 0.335 0.531
Cd 0.665 0.665 0.469
Cd 0.665 0.665 0.860
Ga 0.200 0.200 0.700
Ga 0.500 0.500 0.149
Ga 0.500 0.500 0.851
Ga 0.800 0.800 0.300

Results
total energy	-2.597	eV per atom
crystal system	monoclinic
calculated formation energy	-0.309	eV per atom
SG	C2/m (12)

***

What is the formula in the first record?
SmTmPt